## YTaCoF2 (GGA+U)

Data for an optimized crystal structure of YTaCoF2.

a b c (Å): 4.001 4.001 6.552
angles (deg): 90.00 90.00 90.00
Space group P4/mmm (No. 123)
Asymmetric unit:
Y: 0.000 0.000 0.000
Ta: 0.000 0.000 0.500
Co: 0.500 0.500 0.000
F: 0.000 0.500 0.500

Results
* density of states at the Fermi level: 1.1196 states/eV per atom
* uncorrected energy: -5.8426 eV/atom